Mo3W2: optimized geometry, PBE.

Cell: 7.030 2.619 9.354 Å, 90.00 107.79 90.00°
Space group P2_1/m (No. 11)
Inequivalent atoms, fractional coordinates:
1 Mo 0.004 0.250 0.254 [2 per cell]
2 Mo 0.193 0.250 0.045 [2 per cell]
3 Mo 0.406 0.750 0.345 [2 per cell]
4 W 0.202 0.750 0.547 [2 per cell]
5 W 0.404 0.750 0.854 [2 per cell]

## Properties
offset from the most stable computed form = 2.03 eV per formula unit
magnetization = 0.00 μB per atom
ΔH_f (0 K) = 387.8 meV per atom